{
  "formula": "NdInPd",
  "functional": "PBE-GGA",
  "state": "optimized geometry",
  "magnetic_moment_mub_per_fu": 0.00,
  "e_form_mev_per_atom": -755,
  "sg": "Pmma, No. 51",
  "lattice_angstrom": [[3.952, 0.000, 0.000], [0.000, 7.904, 0.000], [0.000, 0.000, 13.699]],
  "species": ["In", "In", "In", "Pd", "Nd", "Pd", "Nd", "Pd", "Pd", "In", "Pd", "Nd", "Nd", "In", "Nd", "Pd", "In", "Nd"],
  "frac_coords": [[0.500, 0.199, 0.750], [0.500, 0.572, 0.618], [0.500, 0.428, 0.382], [0.500, 0.939, 0.903], [0.000, 0.233, 0.954], [0.000, 0.455, 0.750], [0.000, 0.767, 0.046], [0.500, 0.061, 0.403], [0.500, 0.061, 0.097], [0.500, 0.801, 0.250], [0.500, 0.939, 0.597], [0.000, 0.146, 0.250], [0.000, 0.854, 0.750], [0.500, 0.572, 0.882], [0.000, 0.767, 0.454], [0.000, 0.545, 0.250], [0.500, 0.428, 0.118], [0.000, 0.233, 0.546]]
}